## Hf3TcNi2 (GGA-PBE)

Data for a relaxed structure of Hf3TcNi2.

Calculated values
The value obtained for the energy above the most stable polymorph in this dataset is 0 meV per atom. Its symmetry is P4/mmm. The energy of formation is -0.4848 eV per atom. The calculation puts the raw total energy at -0.6700 Ry per atom.

a = 3.233 Å, b = 3.233 Å, c = 9.521 Å
α = 90.00°, β = 90.00°, γ = 90.00°
Sites, in units of the cell vectors:
Hf 0.000 0.000 0.000
Hf 0.000 0.000 0.667
Hf 0.000 0.000 0.333
Tc 0.500 0.500 0.500
Ni 0.500 0.500 0.839
Ni 0.500 0.500 0.161


## Hf3TcNi2 (GGA-PBE)

Data for a relaxed structure of Hf3TcNi2.

Calculated values
The value obtained for the energy above the most stable polymorph in this dataset is 9 meV per atom. Its symmetry is Cmmm. The energy of formation is -0.4759 eV per atom. The calculation puts the raw total energy at -0.6694 Ry per atom.

a = 4.569 Å, b = 7.210 Å, c = 6.362 Å
α = 90.00°, β = 90.00°, γ = 71.53°
Sites, in units of the cell vectors:
Hf 0.834 0.332 0.748
Hf 0.500 0.000 0.252
Hf 0.166 0.668 0.252
Hf 0.834 0.332 0.252
Hf 0.166 0.668 0.748
Hf 0.500 0.000 0.748
Tc 0.335 0.330 0.000
Tc 0.665 0.670 0.000
Ni 0.000 0.000 0.000
Ni 0.000 0.000 0.500
Ni 0.330 0.340 0.500
Ni 0.670 0.660 0.500


## HfTcNiTe2 (GGA-PBE)

Data for a relaxed structure of HfTcNiTe2.

Calculated values
The formation energy without anion corrections comes out at 648 meV/atom. Its symmetry is P4/mmm. The calculation puts the raw total energy at -0.4284 Ry per atom.

a = 4.963 Å, b = 4.405 Å, c = 4.963 Å
α = 90.00°, β = 90.00°, γ = 90.00°
Sites, in units of the cell vectors:
Ni 0.000 0.000 0.000
Te 0.000 0.000 0.500
Te 0.500 0.000 0.000
Hf 0.500 0.500 0.500
Tc 0.000 0.500 0.000


## HfTiTcNi (GGA-PBE)

Data for a relaxed structure of HfTiTcNi.

Calculated values
Its symmetry is P4mm. The energy of formation is -0.4923 eV per atom. The calculation puts the raw total energy at -0.6608 Ry per atom.

a = 3.196 Å, b = 3.196 Å, c = 6.102 Å
α = 90.00°, β = 90.00°, γ = 90.00°
Sites, in units of the cell vectors:
Hf 0.500 0.500 0.103
Ti 0.500 0.500 0.604
Tc 0.000 0.000 0.372
Ni 0.000 0.000 0.849